WSeNF2 | PBE+U | optimized geometry

Results
symmetry: P4/mmm, No. 123
polymorph energy (0 for the lowest one): 0 meV per atom
size of the total moment: 3.29 μB/f.u.

Cell lengths 4.2629, 4.2629, 4.0741 Å; angles 90.00, 90.00, 90.00 degrees
Element x y z (fractional)
W (0.0000, 0.0000, 0.0000)
Se (0.5000, 0.5000, 0.5000)
N (0.0000, 0.0000, 0.5000)
F (0.0000, 0.5000, 0.0000)
F (0.5000, 0.0000, 0.0000)